# Er3In3Ni2Pd (PBE-GGA, optimized geometry)
data_Er3In3Ni2Pd
_chemical_formula_sum 'Er3 In3 Ni2 Pd1'
_symmetry_space_group_name_H-M 'P -6 2 m'
_symmetry_Int_Tables_number 189
_symmetry_space_group_name_Hall 'P -6 -2'
_cell_length_a 7.5020
_cell_length_b 7.5020
_cell_length_c 3.7976
_cell_angle_alpha 90.00
_cell_angle_beta 90.00
_cell_angle_gamma 120.00
loop_
_atom_site_label
_atom_site_type_symbol
_atom_site_fract_x
_atom_site_fract_y
_atom_site_fract_z
Er1 Er 0.0000 0.5884 0.0000
In1 In 0.0000 0.2664 0.5000
Ni1 Ni 0.3333 0.6667 0.5000
Pd1 Pd 0.0000 0.0000 0.0000
# - calculated total energy (eV/atom) = -4.843